[1]
# RbNaAg2Cl5 | Alexandria | GGA-PBE | relaxed
# **Total moment**: 0.00 μB/atom
# **N(E_F)**: 1.281 states/eV/f.u.
# **VASP energy**: -26.84 eV/f.u.
# **Energy relative to the elements, uncorrected**: -1.069 eV per atom
data_RbNaAg2Cl5
_chemical_formula_sum 'Rb1 Na1 Ag2 Cl5'
_cell_length_a 5.008
_cell_length_b 5.008
_cell_length_c 9.817
_cell_angle_alpha 90.00
_cell_angle_beta 90.00
_cell_angle_gamma 90.00
_space_group_name_H-M_alt 'P 4/m m m'
_space_group_IT_number 123
_space_group_name_Hall '-P 4 2'
loop_
_atom_site_label
_atom_site_type_symbol
_atom_site_fract_x
_atom_site_fract_y
_atom_site_fract_z
Rb1 Rb 0.000 0.000 0.000
Na1 Na 0.000 0.000 0.500
Ag1 Ag 0.500 0.500 0.279
Cl1 Cl 0.000 0.500 0.316
Cl2 Cl 0.500 0.500 0.000

[2]
# Rb3NaAg2Cl9 | Alexandria | GGA-PBE | relaxed
# **Total moment**: 0.00 μB/atom
# **N(E_F)**: 3.181 states/eV/f.u.
# **VASP energy**: -44.02 eV/f.u.
# **Energy relative to the elements, uncorrected**: -1.165 eV per atom
data_Rb3NaAg2Cl9
_chemical_formula_sum 'Rb3 Na1 Ag2 Cl9'
_cell_length_a 7.3341
_cell_length_b 7.3341
_cell_length_c 9.0686
_cell_angle_alpha 90.00
_cell_angle_beta 90.00
_cell_angle_gamma 120.00
_space_group_name_H-M_alt 'P -3 m 1'
_space_group_IT_number 164
_space_group_name_Hall '-P 3 2"'
loop_
_atom_site_label
_atom_site_type_symbol
_atom_site_fract_x
_atom_site_fract_y
_atom_site_fract_z
Rb1 Rb 0.0000 0.0000 0.0000
Rb2 Rb 0.3333 0.6667 0.6530
Na1 Na 0.0000 0.0000 0.5000
Ag1 Ag 0.3333 0.6667 0.1595
Cl1 Cl 0.0000 0.5000 0.0000
Cl2 Cl 0.1700 0.3400 0.3169

[3]
# RbNaAg2Cl4 | Alexandria | GGA-PBE | relaxed
# **Total moment**: 0.00 μB/atom
# **N(E_F)**: 0.000 states/eV/f.u.
# **VASP energy**: -24.61 eV/f.u.
# **Energy relative to the elements, uncorrected**: -1.155 eV per atom
data_RbNaAg2Cl4
_chemical_formula_sum 'Rb2 Na2 Ag4 Cl8'
_cell_length_a 7.193
_cell_length_b 7.745
_cell_length_c 8.499
_cell_angle_alpha 90.00
_cell_angle_beta 90.00
_cell_angle_gamma 90.00
_space_group_name_H-M_alt 'I 2 2 2'
_space_group_IT_number 23
loop_
_space_group_symop_operation_xyz
'x,y,z'
'-x,-y,z'
'x,-y,-z'
'-x,y,-z'
'x+1/2,y+1/2,z+1/2'
'-x+1/2,-y+1/2,z+1/2'
'x+1/2,-y+1/2,-z+1/2'
'-x+1/2,y+1/2,-z+1/2'
loop_
_atom_site_label
_atom_site_type_symbol
_atom_site_fract_x
_atom_site_fract_y
_atom_site_fract_z
Rb1 Rb 0.000 0.000 0.000
Na1 Na 0.000 0.000 0.500
Ag1 Ag 0.000 0.500 0.177
Cl1 Cl 0.234 0.190 0.319

[4]
# NaReAgCl6 | Alexandria | GGA-PBE | relaxed
# **Total moment**: 0.33 μB/atom
# **VASP energy**: -35.13 eV/f.u.
# **Energy relative to the elements, uncorrected**: -0.826 eV per atom
data_NaReAgCl6
_chemical_formula_sum 'Na2 Re2 Ag2 Cl12'
_cell_length_a 6.7045
_cell_length_b 6.7045
_cell_length_c 11.5664
_cell_angle_alpha 90.00
_cell_angle_beta 90.00
_cell_angle_gamma 120.00
_space_group_name_H-M_alt 'P -3 1 c'
_space_group_IT_number 163
_space_group_name_Hall '-P 3 2c'
loop_
_atom_site_label
_atom_site_type_symbol
_atom_site_fract_x
_atom_site_fract_y
_atom_site_fract_z
Na1 Na 0.3333 0.6667 0.2500
Re1 Re 0.3333 0.6667 0.7500
Ag1 Ag 0.0000 0.0000 0.0000
Cl1 Cl 0.0449 0.3764 0.6303

[5]
# NaAgRhCl6 | Alexandria | GGA-PBE | relaxed
# **Total moment**: 0.08 μB/atom
# **N(E_F)**: 9.609 states/eV/f.u.
# **VASP energy**: -29.24 eV/f.u.
# **Energy relative to the elements, uncorrected**: -0.737 eV per atom
data_NaAgRhCl6
_chemical_formula_sum 'Na2 Ag2 Rh2 Cl12'
_cell_length_a 6.6071
_cell_length_b 6.6071
_cell_length_c 11.1749
_cell_angle_alpha 90.00
_cell_angle_beta 90.00
_cell_angle_gamma 120.00
_space_group_name_H-M_alt 'P -3 1 c'
_space_group_IT_number 163
_space_group_name_Hall '-P 3 2c'
loop_
_atom_site_label
_atom_site_type_symbol
_atom_site_fract_x
_atom_site_fract_y
_atom_site_fract_z
Na1 Na 0.3333 0.6667 0.2500
Ag1 Ag 0.0000 0.0000 0.0000
Rh1 Rh 0.3333 0.6667 0.7500
Cl1 Cl 0.0441 0.3759 0.6266

[6]
# NaAg2RhCl8 | Alexandria | GGA-PBE | relaxed
# **Total moment**: 0.00 μB/atom
# **N(E_F)**: 7.855 states/eV/f.u.
# **VASP energy**: -37.09 eV/f.u.
# **Energy relative to the elements, uncorrected**: -0.662 eV per atom
data_NaAg2RhCl8
_chemical_formula_sum 'Na1 Ag2 Rh1 Cl8'
_cell_length_a 6.256
_cell_length_b 6.531
_cell_length_c 7.974
_cell_angle_alpha 93.44
_cell_angle_beta 96.24
_cell_angle_gamma 106.58
_space_group_name_H-M_alt 'P -1'
_space_group_IT_number 2
loop_
_space_group_symop_operation_xyz
'x,y,z'
'-x,-y,-z'
loop_
_atom_site_label
_atom_site_type_symbol
_atom_site_fract_x
_atom_site_fract_y
_atom_site_fract_z
Na1 Na 0.000 0.000 0.000
Ag1 Ag 0.000 0.486 0.752
Rh1 Rh 0.000 0.000 0.500
Cl1 Cl 0.207 0.230 0.321
Cl2 Cl 0.235 0.214 0.739
Cl3 Cl 0.235 0.777 0.484
Cl4 Cl 0.252 0.715 0.988

What is the VASP energy in the third record? -24.61 eV/f.u.